# 1
Compound: PmInSnPb
Source: Alexandria via LeMat-Bulk
Functional: GGA-PBE
Structure: relaxed

a = 5.5005 Å, b = 5.5005 Å, c = 5.5005 Å
α = 60.00°, β = 60.00°, γ = 60.00°
Last column: nearest neighbours and their distance in Å.
Atoms (fractional coordinates):
Pb1 0.0000 0.0000 0.0000  4 Sn 3.37, 4 In 3.37
In1 0.7500 0.7500 0.7500  4 Pm 3.37, 4 Pb 3.37
Sn1 0.2500 0.2500 0.2500  4 Pb 3.37, 4 Pm 3.37
Pm1 0.5000 0.5000 0.5000  4 In 3.37, 4 Sn 3.37

## Properties
energy relative to the lowest polymorph listed for this composition	0.234	eV/atom
formation energy	-201	meV per atom

# 2
Compound: PmIn2Te4Pb
Source: Alexandria via LeMat-Bulk
Functional: GGA-PBE
Structure: relaxed

a = 4.4872 Å, b = 8.1046 Å, c = 7.9690 Å
α = 71.15°, β = 90.00°, γ = 90.00°
Last column: nearest neighbours and their distance in Å.
Atoms (fractional coordinates):
Pm1 0.0000 0.5000 0.5000  6 Te 3.16-3.18
In1 0.0000 0.0000 0.0000  6 Te 3.32-3.36
In2 0.5000 0.0000 0.5000  6 Te 3.20-3.24
Te1 0.0000 0.7490 0.7367  1 Pm 3.18, 3 In 3.20-3.36, 2 Pb 3.28
Te2 0.0000 0.2510 0.2633  1 Pm 3.18, 3 In 3.20-3.36, 2 Pb 3.28
Te3 0.5000 0.7398 0.2644  2 Pm 3.16, 3 In 3.24-3.32, 1 Pb 3.30
Te4 0.5000 0.2602 0.7356  2 Pm 3.16, 3 In 3.24-3.32, 1 Pb 3.30
Pb1 0.5000 0.5000 0.0000  6 Te 3.28-3.30

## Properties
E_form (uncorrected)	-638	meV/atom

# 3
Compound: PmInTe5Pb2
Source: Alexandria via LeMat-Bulk
Functional: GGA-PBE
Structure: relaxed

a = 4.4531 Å, b = 10.4906 Å, c = 14.2829 Å
α = 90.00°, β = 90.00°, γ = 102.25°
Last column: nearest neighbours and their distance in Å.
Atoms (fractional coordinates):
Pm1 0.8040 0.6080 0.5204  6 Te 3.14-3.26
Pm2 0.1960 0.3920 0.0204  6 Te 3.14-3.26
In1 0.5511 0.1022 0.9312  4 Te 2.78-2.89
In2 0.4489 0.8978 0.4312  4 Te 2.78-2.89
Te1 0.3490 0.6980 0.0137  2 Pb 3.13, 1 Pm 3.14
Te2 0.6837 0.3675 0.8625  1 In 2.89, 2 Pm 3.18
Te3 0.4761 0.9522 0.7694  1 In 2.78
Te4 0.2989 0.5979 0.6779  1 Pb 3.07, 2 Pm 3.17
Te5 0.9613 0.9227 0.5537  2 In 2.84
Te6 0.6510 0.3020 0.5137  2 Pb 3.13, 1 Pm 3.14
Te7 0.3163 0.6325 0.3625  1 In 2.89, 2 Pm 3.18
Te8 0.5239 0.0478 0.2694  1 In 2.78
Te9 0.7011 0.4021 0.1779  1 Pb 3.07, 2 Pm 3.17
Te10 0.0387 0.0773 0.0537  2 In 2.84
Pb1 0.8748 0.7496 0.8274  6 Te 3.16-3.51
Pb2 0.1492 0.2984 0.6676  3 Te 3.07-3.13
Pb3 0.1252 0.2504 0.3274  6 Te 3.16-3.51
Pb4 0.8508 0.7016 0.1676  3 Te 3.07-3.13

## Properties
E_form (uncorrected)	-632	meV/atom